Record 1
First-principles (PBE-GGA) data for crystalline DyY5Er6 at its relaxed geometry, as listed in Alexandria.

## Properties
M_tot (μB/f.u.): 0.0
Calculated volume (Å³/f.u.): 375
Calculated formation energy (eV/f.u.): 0.30
Uncorrected energy (eV/atom): -5.333
D(E_F) (states/eV/cell): 17.6
Space group: No. 12

a b c (Å): 6.1227 6.1227 11.7212
angles (deg): 94.98 94.98 119.92
With the nearest neighbours (Å) after each atom.
Atoms (fractional coordinates):
Dy: 0.0000 0.0000 0.0000  6 Er 3.53, 6 Y 3.53-3.54
Y: 0.1668 0.8332 0.5000  6 Y 3.53-3.54, 6 Er 3.54
Y: 0.3333 0.6667 0.0000  6 Er 3.53, 3 Dy 3.53-3.54, 3 Y 3.53-3.54
Y: 0.5000 0.5000 0.5000  6 Y 3.53-3.54, 6 Er 3.54
Y: 0.6667 0.3333 0.0000  6 Er 3.53, 3 Dy 3.53-3.54, 3 Y 3.53-3.54
Y: 0.8332 0.1668 0.5000  6 Y 3.53-3.54, 6 Er 3.54
Er: 0.0832 0.4160 0.2497  6 Er 3.53-3.54, 1 Dy 3.53, 5 Y 3.53-3.54
Er: 0.2493 0.2493 0.7504  1 Dy 3.53, 6 Er 3.53-3.54, 5 Y 3.53-3.54
Er: 0.4160 0.0832 0.2497  6 Er 3.53-3.54, 1 Dy 3.53, 5 Y 3.53-3.54
Er: 0.5840 0.9168 0.7503  6 Er 3.53-3.54, 1 Dy 3.53, 5 Y 3.53-3.54
Er: 0.7507 0.7507 0.2496  1 Dy 3.53, 6 Er 3.53-3.54, 5 Y 3.53-3.54
Er: 0.9168 0.5840 0.7503  6 Er 3.53-3.54, 1 Dy 3.53, 5 Y 3.53-3.54

Record 2
First-principles (PBE-GGA) data for crystalline Dy5Y3Er at its relaxed geometry, as listed in Alexandria.

## Properties
M_tot (μB/f.u.): 0.0
Calculated volume (Å³/f.u.): 327
Calculated formation energy (eV/f.u.): 4.84
Uncorrected energy (eV/atom): -4.681
D(E_F) (states/eV/cell): 25.4
Energy above the most stable polymorph in this dataset (meV per atom): 365
Space group: No. 12

a b c (Å): 9.4710 9.4710 9.9447
angles (deg): 121.05 121.05 73.90
With the nearest neighbours (Å) after each atom.
Atoms (fractional coordinates):
Dy: 0.0927 0.5960 0.2474  3 Dy 3.29-3.68, 2 Y 3.50-3.56
Dy: 0.2228 0.2228 0.2340  3 Y 3.20-3.33, 3 Dy 3.30-3.36, 1 Er 3.42
Dy: 0.2430 0.7570 0.0000  1 Y 2.93
Dy: 0.2787 0.2787 0.9634  3 Y 3.13-3.31, 3 Dy 3.29-3.30, 1 Er 3.32
Dy: 0.4040 0.9073 0.7526  3 Dy 3.29-3.68, 2 Y 3.50-3.56
Dy: 0.5960 0.0927 0.2474  3 Dy 3.29-3.68, 2 Y 3.50-3.56
Dy: 0.7213 0.7213 0.0366  3 Y 3.13-3.31, 3 Dy 3.29-3.30, 1 Er 3.32
Dy: 0.7570 0.2430 0.0000  1 Y 2.93
Dy: 0.7772 0.7772 0.7660  3 Y 3.20-3.33, 3 Dy 3.30-3.36, 1 Er 3.42
Dy: 0.9073 0.4040 0.7526  3 Dy 3.29-3.68, 2 Y 3.50-3.56
Y: 0.0000 0.0000 0.5000  2 Y 3.07, 2 Er 3.20
Y: 0.0110 0.0110 0.8189  1 Y 3.07, 5 Dy 3.20-3.36, 1 Er 3.42
Y: 0.4796 0.4796 0.6385  2 Y 3.19-3.40, 4 Dy 3.22-3.56, 1 Er 3.27
Y: 0.5000 0.5000 0.0000  4 Dy 2.93-3.13
Y: 0.5204 0.5204 0.3615  2 Y 3.19-3.40, 4 Dy 3.22-3.56, 1 Er 3.27
Y: 0.9890 0.9890 0.1811  1 Y 3.07, 5 Dy 3.20-3.36, 1 Er 3.42
Er: 0.2483 0.2483 0.6011  4 Y 3.20-3.42, 2 Dy 3.32-3.42
Er: 0.7517 0.7517 0.3989  4 Y 3.20-3.42, 2 Dy 3.32-3.42

Record 3
First-principles (PBE-GGA) data for crystalline Dy2YEr3 at its relaxed geometry, as listed in Alexandria.

## Properties
M_tot (μB/f.u.): 0.0
Calculated volume (Å³/f.u.): 186
Calculated formation energy (eV/f.u.): 0.14
Uncorrected energy (eV/atom): -4.870
D(E_F) (states/eV/cell): 17.2
Energy above the most stable polymorph in this dataset (meV per atom): 21
Space group: No. 2

a b c (Å): 6.1070 7.0583 9.3384
angles (deg): 112.14 90.01 90.00
With the nearest neighbours (Å) after each atom.
Atoms (fractional coordinates):
Dy: 0.0823 0.2086 0.1665  8 Er 3.52-3.54, 3 Dy 3.52-3.53, 1 Y 3.53
Dy: 0.4177 0.5421 0.8335  8 Er 3.52-3.54, 3 Dy 3.52-3.53, 1 Y 3.53
Dy: 0.5823 0.4579 0.1665  8 Er 3.52-3.54, 3 Dy 3.52-3.53, 1 Y 3.53
Dy: 0.9177 0.7914 0.8335  8 Er 3.52-3.54, 3 Dy 3.52-3.53, 1 Y 3.53
Y: 0.2500 0.1257 0.5000  8 Er 3.52-3.54, 2 Dy 3.53, 2 Y 3.53
Y: 0.7500 0.8743 0.5000  8 Er 3.52-3.54, 2 Dy 3.53, 2 Y 3.53
Er: 0.0839 0.7077 0.1659  6 Dy 3.52-3.54, 4 Er 3.52-3.53, 2 Y 3.54
Er: 0.2500 0.6245 0.5000  4 Y 3.52-3.54, 4 Er 3.52-3.54, 4 Dy 3.53
Er: 0.4161 0.0418 0.8342  4 Er 3.52-3.54, 6 Dy 3.52-3.54, 2 Y 3.54
Er: 0.5839 0.9582 0.1658  4 Er 3.52-3.54, 6 Dy 3.52-3.54, 2 Y 3.54
Er: 0.7500 0.3755 0.5000  4 Y 3.52-3.54, 4 Er 3.52-3.54, 4 Dy 3.53
Er: 0.9161 0.2923 0.8341  6 Dy 3.52-3.54, 4 Er 3.52-3.53, 2 Y 3.54

Record 4
First-principles (PBE-GGA) data for crystalline DyY2Er8 at its relaxed geometry, as listed in Alexandria.

## Properties
M_tot (μB/f.u.): 0.0
Calculated volume (Å³/f.u.): 350
Calculated formation energy (eV/f.u.): 1.75
Uncorrected energy (eV/atom): -4.753
D(E_F) (states/eV/cell): 14.4
Energy above the most stable polymorph in this dataset (meV per atom): 0
Space group: No. 12

a b c (Å): 9.4523 9.4523 5.8674
angles (deg): 106.95 106.95 122.70
With the nearest neighbours (Å) after each atom.
Atoms (fractional coordinates):
Dy: 0.0000 0.0000 0.0000  4 Er 3.35-3.50
Y: 0.3102 0.6898 0.5000  10 Er 3.44-3.61
Y: 0.6898 0.3102 0.5000  10 Er 3.44-3.61
Er: 0.0978 0.3481 0.7049  5 Er 3.18-3.56, 2 Y 3.46-3.55
Er: 0.2022 0.7978 0.0000  1 Dy 3.35, 4 Y 3.44-3.61, 6 Er 3.50-3.60
Er: 0.3481 0.0978 0.7049  5 Er 3.18-3.56, 2 Y 3.46-3.55
Er: 0.4554 0.4554 0.2189  4 Er 2.88-3.18
Er: 0.5446 0.5446 0.7811  4 Er 2.88-3.18
Er: 0.6519 0.9022 0.2951  5 Er 3.18-3.56, 2 Y 3.46-3.55
Er: 0.7978 0.2022 0.0000  1 Dy 3.35, 4 Y 3.44-3.61, 6 Er 3.50-3.60
Er: 0.9022 0.6519 0.2951  5 Er 3.18-3.56, 2 Y 3.46-3.55

Record 5
First-principles (PBE-GGA) data for crystalline Dy7Y3Er2 at its relaxed geometry, as listed in Alexandria.

## Properties
M_tot (μB/f.u.): 0.0
Calculated volume (Å³/f.u.): 382
Calculated formation energy (eV/f.u.): 1.05
Uncorrected energy (eV/atom): -4.973
D(E_F) (states/eV/cell): 15.8
Energy above the most stable polymorph in this dataset (meV per atom): 0
Space group: No. 10

a b c (Å): 5.7651 3.5700 18.5931
angles (deg): 90.00 93.50 90.00
With the nearest neighbours (Å) after each atom.
Atoms (fractional coordinates):
Dy: 0.0000 0.0000 0.0000  4 Dy 3.34-3.57, 4 Y 3.39
Dy: 0.1852 0.5000 0.1791  6 Dy 3.43-3.57, 2 Er 3.59-3.60
Dy: 0.2578 0.5000 0.5367  1 Er 3.13, 2 Dy 3.18-3.19
Dy: 0.3165 0.0000 0.8555  2 Er 3.31, 7 Dy 3.34-3.57, 2 Y 3.34
Dy: 0.6835 0.0000 0.1445  2 Er 3.31, 7 Dy 3.34-3.57, 2 Y 3.34
Dy: 0.7422 0.5000 0.4633  1 Er 3.13, 2 Dy 3.18-3.19
Dy: 0.8148 0.5000 0.8209  6 Dy 3.43-3.57, 2 Er 3.59-3.60
Y: 0.2193 0.0000 0.3672  2 Y 3.57, 8 Dy 3.62-3.92, 4 Er 3.64-3.66
Y: 0.5000 0.5000 0.0000  8 Dy 3.34-3.39, 2 Y 3.57
Y: 0.7807 0.0000 0.6328  2 Y 3.57, 8 Dy 3.62-3.92, 4 Er 3.64-3.66
Er: 0.2931 0.5000 0.7053  3 Dy 3.13-3.31
Er: 0.7069 0.5000 0.2947  3 Dy 3.13-3.31

Record 6
First-principles (PBE-GGA) data for crystalline Dy3YEr8 at its relaxed geometry, as listed in Alexandria.

## Properties
M_tot (μB/f.u.): 0.0
Calculated volume (Å³/f.u.): 445
Calculated formation energy (eV/f.u.): 8.88
Uncorrected energy (eV/atom): -3.991
D(E_F) (states/eV/cell): 12.0
Space group: No. 139

a b c (Å): 9.3520 9.3520 9.3520
angles (deg): 131.85 131.85 70.47
With the nearest neighbours (Å) after each atom.
Atoms (fractional coordinates):
Dy: 0.0000 0.0000 0.0000  8 Er 3.30
Dy: 0.2500 0.7500 0.5000  8 Er 3.30
Dy: 0.7500 0.2500 0.5000  8 Er 3.30
Y: 0.5000 0.5000 0.0000  8 Er 3.32
Er: 0.1233 0.1233 0.4978  3 Dy 3.30, 1 Y 3.32
Er: 0.1233 0.6255 0.0000  3 Dy 3.30, 1 Y 3.32
Er: 0.3745 0.3745 0.4978  3 Dy 3.30, 1 Y 3.32
Er: 0.3745 0.8767 0.0000  3 Dy 3.30, 1 Y 3.32
Er: 0.6255 0.1233 0.0000  3 Dy 3.30, 1 Y 3.32
Er: 0.6255 0.6255 0.5022  3 Dy 3.30, 1 Y 3.32
Er: 0.8767 0.3745 0.0000  3 Dy 3.30, 1 Y 3.32
Er: 0.8767 0.8767 0.5022  3 Dy 3.30, 1 Y 3.32

Record 7
First-principles (PBE-GGA) data for crystalline Dy3Y12Er at its relaxed geometry, as listed in Alexandria.

## Properties
M_tot (μB/f.u.): 0.0
Calculated volume (Å³/f.u.): 511
Calculated formation energy (eV/f.u.): 0.38
Uncorrected energy (eV/atom): -5.972
D(E_F) (states/eV/cell): 22.1
Space group: No. 123

a b c (Å): 5.0383 5.0383 20.1472
angles (deg): 90.00 90.00 90.00
With the nearest neighbours (Å) after each atom.
Atoms (fractional coordinates):
Dy: 0.0000 0.0000 0.0000  12 Y 3.56
Dy: 0.0000 0.0000 0.2501  12 Y 3.56
Dy: 0.0000 0.0000 0.7499  12 Y 3.56
Y: 0.0000 0.5000 0.1251  4 Dy 3.56, 8 Y 3.56
Y: 0.0000 0.5000 0.3753  2 Er 3.56, 8 Y 3.56, 2 Dy 3.56
Y: 0.0000 0.5000 0.6247  2 Er 3.56, 8 Y 3.56, 2 Dy 3.56
Y: 0.0000 0.5000 0.8749  4 Dy 3.56, 8 Y 3.56
Y: 0.5000 0.0000 0.1251  4 Dy 3.56, 8 Y 3.56
Y: 0.5000 0.0000 0.3753  2 Er 3.56, 8 Y 3.56, 2 Dy 3.56
Y: 0.5000 0.0000 0.6247  2 Er 3.56, 8 Y 3.56, 2 Dy 3.56
Y: 0.5000 0.0000 0.8749  4 Dy 3.56, 8 Y 3.56
Y: 0.5000 0.5000 0.0000  4 Dy 3.56, 8 Y 3.56
Y: 0.5000 0.5000 0.2503  8 Y 3.56, 4 Dy 3.56
Y: 0.5000 0.5000 0.5000  8 Y 3.56, 4 Er 3.56
Y: 0.5000 0.5000 0.7497  8 Y 3.56, 4 Dy 3.56
Er: 0.0000 0.0000 0.5000  12 Y 3.56

Record 8
First-principles (PBE-GGA) data for crystalline Dy7YEr5 at its relaxed geometry, as listed in Alexandria.

## Properties
M_tot (μB/f.u.): 0.0
Calculated volume (Å³/f.u.): 423
Calculated formation energy (eV/f.u.): 3.25
Uncorrected energy (eV/atom): -4.480
D(E_F) (states/eV/cell): 25.2
Space group: No. 44

a b c (Å): 8.6420 8.6420 8.6420
angles (deg): 134.76 100.08 96.94
With the nearest neighbours (Å) after each atom.
Atoms (fractional coordinates):
Dy: 0.0000 0.0000 0.0000  3 Dy 3.33-3.50, 4 Er 3.50, 1 Y 3.56
Dy: 0.0756 0.7451 0.3305  5 Er 3.43-3.44, 4 Dy 3.47-3.76, 1 Y 3.72
Dy: 0.3054 0.3054 0.0000  7 Dy 3.50-3.88, 4 Er 3.68
Dy: 0.4146 0.7451 0.6695  5 Er 3.43-3.44, 4 Dy 3.47-3.76, 1 Y 3.72
Dy: 0.5686 0.2430 0.3256  5 Er 3.40-3.45, 4 Dy 3.43-3.75
Dy: 0.9174 0.2430 0.6744  5 Er 3.40-3.45, 4 Dy 3.43-3.75
Dy: 0.9901 0.4901 0.5000  6 Dy 3.33-3.47, 4 Er 3.39
Y: 0.6893 0.6893 0.0000  7 Dy 3.56-3.90, 4 Er 3.71
Er: 0.2667 0.2625 0.5386  2 Er 3.10, 5 Dy 3.39-3.45
Er: 0.2667 0.7282 0.0042  2 Er 3.10, 5 Dy 3.39-3.45
Er: 0.4957 0.9957 0.5000  4 Er 3.10, 4 Dy 3.43
Er: 0.7239 0.2625 0.9958  2 Er 3.10, 5 Dy 3.39-3.45
Er: 0.7239 0.7282 0.4614  2 Er 3.10, 5 Dy 3.39-3.45

Record 9
First-principles (PBE-GGA) data for crystalline DyYEr14 at its relaxed geometry, as listed in Alexandria.

## Properties
M_tot (μB/f.u.): 0.0
Calculated volume (Å³/f.u.): 495
Calculated formation energy (eV/f.u.): 0.98
Uncorrected energy (eV/atom): -4.623
D(E_F) (states/eV/cell): 30.3
Space group: No. 38

a b c (Å): 11.0097 6.8666 6.8666
angles (deg): 72.36 90.00 90.00
With the nearest neighbours (Å) after each atom.
Atoms (fractional coordinates):
Dy: 0.0000 0.0000 0.0000  12 Er 3.45-3.72
Y: 0.0000 0.5517 0.5517  10 Er 3.34-3.50
Er: 0.0000 0.0691 0.4776  7 Er 3.31-3.61, 2 Y 3.43-3.50, 2 Dy 3.45-3.47
Er: 0.0000 0.4776 0.0691  7 Er 3.31-3.61, 2 Y 3.43-3.50, 2 Dy 3.45-3.47
Er: 0.2322 0.7610 0.7610  9 Er 3.40-3.71, 1 Y 3.45, 1 Dy 3.68
Er: 0.2518 0.2724 0.6906  9 Er 3.31-3.61, 1 Y 3.34, 1 Dy 3.65
Er: 0.2518 0.6906 0.2724  9 Er 3.31-3.61, 1 Y 3.34, 1 Dy 3.65
Er: 0.2687 0.2028 0.2028  10 Er 3.41-3.67, 1 Dy 3.72
Er: 0.5000 0.4116 0.4116  10 Er 3.31-3.51
Er: 0.5000 0.4867 0.8956  11 Er 3.31-3.59
Er: 0.5000 0.8956 0.4867  11 Er 3.31-3.59
Er: 0.5000 0.9640 0.9640  12 Er 3.45-3.71
Er: 0.7313 0.2028 0.2028  10 Er 3.41-3.67, 1 Dy 3.72
Er: 0.7482 0.2724 0.6906  9 Er 3.31-3.61, 1 Y 3.34, 1 Dy 3.65
Er: 0.7482 0.6906 0.2724  9 Er 3.31-3.61, 1 Y 3.34, 1 Dy 3.65
Er: 0.7678 0.7610 0.7610  9 Er 3.40-3.71, 1 Y 3.45, 1 Dy 3.68

Record 10
First-principles (PBE-GGA) data for crystalline Dy5Y12Er2 at its relaxed geometry, as listed in Alexandria.

## Properties
M_tot (μB/f.u.): 0.0
Calculated volume (Å³/f.u.): 604
Calculated formation energy (eV/f.u.): 0.41
Uncorrected energy (eV/atom): -5.752
D(E_F) (states/eV/cell): 27.5
Energy above the most stable polymorph in this dataset (meV per atom): 0
Space group: No. 2

a b c (Å): 6.1613 9.3937 10.6801
angles (deg): 78.96 84.43 89.99
With the nearest neighbours (Å) after each atom.
Atoms (fractional coordinates):
Dy: 0.0000 0.0000 0.0000  2 Dy 3.54, 10 Y 3.55-3.57
Dy: 0.1571 0.6321 0.0521  2 Dy 3.54-3.55, 10 Y 3.55-3.57
Dy: 0.4223 0.6850 0.4740  2 Er 3.54, 9 Y 3.54-3.57, 1 Dy 3.56
Dy: 0.5777 0.3150 0.5260  2 Er 3.54, 9 Y 3.54-3.57, 1 Dy 3.56
Dy: 0.8429 0.3679 0.9479  2 Dy 3.54-3.55, 10 Y 3.55-3.57
Y: 0.0512 0.2095 0.6838  6 Y 3.54-3.57, 2 Er 3.55, 4 Dy 3.55-3.57
Y: 0.1066 0.4209 0.3689  4 Dy 3.54-3.57, 7 Y 3.55-3.56, 1 Er 3.55
Y: 0.2108 0.8426 0.7358  3 Er 3.53-3.56, 6 Y 3.54-3.57, 3 Dy 3.55-3.57
Y: 0.3150 0.2632 0.1055  4 Dy 3.55-3.56, 7 Y 3.55-3.57, 1 Er 3.56
Y: 0.3679 0.4738 0.7891  5 Dy 3.55-3.57, 7 Y 3.55-3.57
Y: 0.4727 0.8946 0.1583  7 Y 3.54-3.57, 4 Dy 3.55-3.56, 1 Er 3.56
Y: 0.5273 0.1054 0.8417  7 Y 3.54-3.57, 4 Dy 3.55-3.56, 1 Er 3.56
Y: 0.6321 0.5262 0.2109  5 Dy 3.55-3.57, 7 Y 3.55-3.57
Y: 0.6850 0.7368 0.8945  4 Dy 3.55-3.56, 7 Y 3.55-3.57, 1 Er 3.56
Y: 0.7892 0.1574 0.2642  3 Er 3.53-3.56, 6 Y 3.54-3.57, 3 Dy 3.55-3.57
Y: 0.8934 0.5791 0.6311  4 Dy 3.54-3.57, 7 Y 3.55-3.56, 1 Er 3.55
Y: 0.9488 0.7905 0.3162  6 Y 3.54-3.57, 2 Er 3.55, 4 Dy 3.55-3.57
Er: 0.2638 0.0519 0.4221  8 Y 3.53-3.56, 2 Er 3.54-3.55, 2 Dy 3.54
Er: 0.7362 0.9481 0.5779  8 Y 3.53-3.56, 2 Er 3.54-3.55, 2 Dy 3.54

Record 11
First-principles (PBE-GGA) data for crystalline DyY10Er2 at its relaxed geometry, as listed in Alexandria.

## Properties
M_tot (μB/f.u.): 0.0
Calculated volume (Å³/f.u.): 439
Calculated formation energy (eV/f.u.): 3.77
Uncorrected energy (eV/atom): -5.739
D(E_F) (states/eV/cell): 30.9
Space group: No. 69

a b c (Å): 11.6230 9.2374 8.4338
angles (deg): 82.12 51.93 45.95
With the nearest neighbours (Å) after each atom.
Atoms (fractional coordinates):
Dy: 0.0000 0.0000 0.0000  12 Y 4.04-4.05, 4 Er 4.22
Y: 0.0000 0.5000 0.0000  10 Y 3.27-3.55
Y: 0.0133 0.6502 0.3498  2 Er 3.50, 8 Y 3.54-3.90
Y: 0.2953 0.5028 0.4972  5 Y 3.23-3.54, 2 Er 3.30
Y: 0.3498 0.9867 0.0133  2 Er 3.50, 8 Y 3.54-3.90
Y: 0.4972 0.7047 0.2953  5 Y 3.23-3.54, 2 Er 3.30
Y: 0.5000 0.0000 0.5000  10 Y 3.27-3.55
Y: 0.5028 0.2953 0.7047  5 Y 3.23-3.54, 2 Er 3.30
Y: 0.6502 0.0133 0.9867  2 Er 3.50, 8 Y 3.54-3.90
Y: 0.7047 0.4972 0.5028  5 Y 3.23-3.54, 2 Er 3.30
Y: 0.9867 0.3498 0.6502  2 Er 3.50, 8 Y 3.54-3.90
Er: 0.0000 0.0000 0.5000  2 Er 3.27, 8 Y 3.30-3.50
Er: 0.5000 0.5000 0.0000  2 Er 3.27, 8 Y 3.30-3.50

Record 12
First-principles (PBE-GGA) data for crystalline Dy6Y3Er2 at its relaxed geometry, as listed in Alexandria.

## Properties
M_tot (μB/f.u.): 0.0
Calculated volume (Å³/f.u.): 368
Calculated formation energy (eV/f.u.): 3.11
Uncorrected energy (eV/atom): -4.820
D(E_F) (states/eV/cell): 17.0
Energy above the most stable polymorph in this dataset (meV per atom): 261
Space group: No. 139

a b c (Å): 16.8415 16.8415 16.8415
angles (deg): 163.89 163.89 22.85
With the nearest neighbours (Å) after each atom.
Atoms (fractional coordinates):
Dy: 0.1201 0.6201 0.5000  6 Dy 3.34-3.39, 2 Er 3.40, 2 Y 3.58
Dy: 0.1938 0.1938 0.0000  5 Y 3.35-3.45, 4 Dy 3.39
Dy: 0.3799 0.8799 0.5000  6 Dy 3.34-3.39, 2 Er 3.40, 2 Y 3.58
Dy: 0.6201 0.1201 0.5000  6 Dy 3.34-3.39, 2 Er 3.40, 2 Y 3.58
Dy: 0.8062 0.8062 0.0000  5 Y 3.35-3.45, 4 Dy 3.39
Dy: 0.8799 0.3799 0.5000  6 Dy 3.34-3.39, 2 Er 3.40, 2 Y 3.58
Y: 0.2985 0.2985 0.0000  9 Dy 3.35-3.58
Y: 0.5000 0.5000 0.0000  8 Er 3.66
Y: 0.7015 0.7015 0.0000  9 Dy 3.35-3.58
Er: 0.0459 0.0459 0.0000  1 Er 3.03
Er: 0.9541 0.9541 0.0000  1 Er 3.03